# AcTlP2, optimized geometry, DFT PBE-GGA
data_AcTlP2
_space_group_name_H-M_alt 'P 4/m m m'
_space_group_IT_number 123
_space_group_name_Hall '-P 4 2'
_cell_length_a 4.1633
_cell_length_b 4.1633
_cell_length_c 6.7752
_cell_angle_alpha 90.00
_cell_angle_beta 90.00
_cell_angle_gamma 90.00
loop_
_atom_site_label
_atom_site_type_symbol
_atom_site_fract_x
_atom_site_fract_y
_atom_site_fract_z
_atom_site_occupancy
Ac1 Ac 0.0000 0.0000 0.0000 1
Tl1 Tl 0.0000 0.0000 0.5000 1
P1 P 0.5000 0.5000 0.1675 1
# - Final energy: -4.84 eV/atom
# - DFT formation energy: -0.520 eV per atom

---

# EuNpAu4, optimized geometry, DFT PBE-GGA
data_EuNpAu4
_space_group_name_H-M_alt 'F -4 3 m'
_space_group_IT_number 216
_space_group_name_Hall 'F -4 2 3'
_cell_length_a 8.0911
_cell_length_b 8.0911
_cell_length_c 8.0911
_cell_angle_alpha 90.00
_cell_angle_beta 90.00
_cell_angle_gamma 90.00
loop_
_atom_site_label
_atom_site_type_symbol
_atom_site_fract_x
_atom_site_fract_y
_atom_site_fract_z
_atom_site_occupancy
Eu1 Eu 0.0000 0.0000 0.0000 1
Np1 Np 0.2500 0.2500 0.2500 1
Au1 Au 0.1249 0.1249 0.6249 1
# - Final energy: -6.30 eV/atom
# - DFT formation energy: -0.242 eV per atom

---

# TbPr5DyY2, optimized geometry, DFT PBE-GGA
data_TbPr5DyY2
_space_group_name_H-M_alt 'C m c 21'
_space_group_IT_number 36
_space_group_name_Hall 'C 2c -2'
_cell_length_a 5.7098
_cell_length_b 20.6287
_cell_length_c 10.7555
_cell_angle_alpha 90.00
_cell_angle_beta 90.00
_cell_angle_gamma 90.00
loop_
_atom_site_label
_atom_site_type_symbol
_atom_site_fract_x
_atom_site_fract_y
_atom_site_fract_z
_atom_site_occupancy
Tb1 Tb 0.0000 0.1996 0.0000 1
Pr1 Pr 0.0000 0.0166 0.0073 1
Pr2 Pr 0.0000 0.2804 0.3023 1
Pr3 Pr 0.0000 0.2959 0.6946 1
Pr4 Pr 0.0000 0.3866 0.0116 1
Pr5 Pr 0.0000 0.4830 0.7345 1
Dy1 Dy 0.0000 0.4078 0.4531 1
Y1 Y 0.0000 0.1123 0.7275 1
Y2 Y 0.0000 0.1153 0.3009 1
# - Final energy: -4.98 eV/atom
# - DFT formation energy: 0.137 eV per atom

---

# Ga2S2F, optimized geometry, DFT PBE-GGA
data_Ga2S2F
_space_group_name_H-M_alt 'P 4/m b m'
_space_group_IT_number 127
_space_group_name_Hall '-P 4 2ab'
_cell_length_a 6.8078
_cell_length_b 6.8078
_cell_length_c 3.3916
_cell_angle_alpha 90.00
_cell_angle_beta 90.00
_cell_angle_gamma 90.00
loop_
_atom_site_label
_atom_site_type_symbol
_atom_site_fract_x
_atom_site_fract_y
_atom_site_fract_z
_atom_site_occupancy
Ga1 Ga 0.1770 0.3230 0.0000 1
S1 S 0.1513 0.6513 0.5000 1
F1 F 0.0000 0.0000 0.0000 1
# - Final energy: -3.92 eV/atom

---

# Pm2PrTm3Bi6, optimized geometry, DFT PBE-GGA
data_Pm2PrTm3Bi6
_space_group_name_H-M_alt 'C 1 2/m 1'
_space_group_IT_number 12
_space_group_name_Hall '-C 2y'
_cell_length_a 19.6723
_cell_length_b 4.5200
_cell_length_c 9.0281
_cell_angle_alpha 90.00
_cell_angle_beta 103.07
_cell_angle_gamma 90.00
loop_
_atom_site_label
_atom_site_type_symbol
_atom_site_fract_x
_atom_site_fract_y
_atom_site_fract_z
_atom_site_occupancy
Pm1 Pm 0.1670 0.0000 0.3335 1
Pr1 Pr 0.0000 0.5000 0.0000 1
Tm1 Tm 0.0000 0.5000 0.5000 1
Tm2 Tm 0.1661 0.0000 0.8328 1
Bi1 Bi 0.0019 0.0000 0.7414 1
Bi2 Bi 0.1643 0.5000 0.5888 1
Bi3 Bi 0.1701 0.5000 0.0781 1
# - Final energy: -5.11 eV/atom
# - DFT formation energy: -0.861 eV per atom

---

# TlCo2IrC, optimized geometry, DFT PBE-GGA
data_TlCo2IrC
_space_group_name_H-M_alt 'P 4/m m m'
_space_group_IT_number 123
_space_group_name_Hall '-P 4 2'
_cell_length_a 3.9840
_cell_length_b 3.9840
_cell_length_c 4.0535
_cell_angle_alpha 90.00
_cell_angle_beta 90.00
_cell_angle_gamma 90.00
loop_
_atom_site_label
_atom_site_type_symbol
_atom_site_fract_x
_atom_site_fract_y
_atom_site_fract_z
_atom_site_occupancy
Tl1 Tl 0.0000 0.0000 0.0000 1
Co1 Co 0.0000 0.5000 0.5000 1
Ir1 Ir 0.5000 0.5000 0.0000 1
C1 C 0.5000 0.5000 0.5000 1
# - Final energy: -6.59 eV/atom
# - DFT formation energy: 0.339 eV per atom

---

# NbAl6, optimized geometry, DFT PBE-GGA
data_NbAl6
_space_group_name_H-M_alt 'I m -3 m'
_space_group_IT_number 229
_space_group_name_Hall '-I 4 2 3'
_cell_length_a 7.1485
_cell_length_b 7.1485
_cell_length_c 7.1485
_cell_angle_alpha 90.00
_cell_angle_beta 90.00
_cell_angle_gamma 90.00
loop_
_atom_site_label
_atom_site_type_symbol
_atom_site_fract_x
_atom_site_fract_y
_atom_site_fract_z
_atom_site_occupancy
Nb1 Nb 0.0000 0.0000 0.0000 1
Al1 Al 0.0000 0.2500 0.5000 1
# - Final energy: -3.47 eV/atom
# - DFT formation energy: 1.175 eV per atom

---

# Zn3IrBr, optimized geometry, DFT PBE-GGA
data_Zn3IrBr
_space_group_name_H-M_alt 'P m -3 m'
_space_group_IT_number 221
_space_group_name_Hall '-P 4 2 3'
_cell_length_a 4.7883
_cell_length_b 4.7883
_cell_length_c 4.7883
_cell_angle_alpha 90.00
_cell_angle_beta 90.00
_cell_angle_gamma 90.00
loop_
_atom_site_label
_atom_site_type_symbol
_atom_site_fract_x
_atom_site_fract_y
_atom_site_fract_z
_atom_site_occupancy
Zn1 Zn 0.0000 0.0000 0.5000 1
Ir1 Ir 0.5000 0.5000 0.5000 1
Br1 Br 0.0000 0.0000 0.0000 1
# - Final energy: -1.50 eV/atom

---

# Cs3UZn2S6, optimized geometry, DFT PBE-GGA
data_Cs3UZn2S6
_space_group_name_H-M_alt 'P -3 m 1'
_space_group_IT_number 164
_space_group_name_Hall '-P 3 2"'
_cell_length_a 7.4790
_cell_length_b 7.4790
_cell_length_c 8.9783
_cell_angle_alpha 90.00
_cell_angle_beta 90.00
_cell_angle_gamma 120.00
loop_
_atom_site_label
_atom_site_type_symbol
_atom_site_fract_x
_atom_site_fract_y
_atom_site_fract_z
_atom_site_occupancy
Cs1 Cs 0.0000 0.0000 0.0000 1
Cs2 Cs 0.3333 0.6667 0.7077 1
U1 U 0.0000 0.0000 0.5000 1
Zn1 Zn 0.3333 0.6667 0.3221 1
S1 S 0.1600 0.3201 0.3180 1
# - Final energy: -4.51 eV/atom

---

# KAg2Rh, optimized geometry, DFT PBE-GGA
data_KAg2Rh
_space_group_name_H-M_alt 'P 4/m m m'
_space_group_IT_number 123
_space_group_name_Hall '-P 4 2'
_cell_length_a 5.2798
_cell_length_b 5.2798
_cell_length_c 2.8626
_cell_angle_alpha 90.00
_cell_angle_beta 90.00
_cell_angle_gamma 90.00
loop_
_atom_site_label
_atom_site_type_symbol
_atom_site_fract_x
_atom_site_fract_y
_atom_site_fract_z
_atom_site_occupancy
K1 K 0.0000 0.0000 0.0000 1
Ag1 Ag 0.0000 0.5000 0.5000 1
Rh1 Rh 0.5000 0.5000 0.0000 1
# - Final energy: -3.10 eV/atom
# - DFT formation energy: 0.442 eV per atom

---

# Sc8As4S3, optimized geometry, DFT PBE-GGA
data_Sc8As4S3
_space_group_name_H-M_alt 'C 1 2/m 1'
_space_group_IT_number 12
_space_group_name_Hall '-C 2y'
_cell_length_a 10.6648
_cell_length_b 10.6780
_cell_length_c 7.5244
_cell_angle_alpha 90.00
_cell_angle_beta 134.78
_cell_angle_gamma 90.00
loop_
_atom_site_label
_atom_site_type_symbol
_atom_site_fract_x
_atom_site_fract_y
_atom_site_fract_z
_atom_site_occupancy
Sc1 Sc 0.0000 0.2493 0.0000 1
Sc2 Sc 0.0000 0.2495 0.5000 1
Sc3 Sc 0.2464 0.0000 0.9969 1
Sc4 Sc 0.2483 0.0000 0.4954 1
As1 As 0.0000 0.0000 0.5000 1
As2 As 0.0000 0.5000 0.0000 1
As3 As 0.2500 0.2500 0.5000 1
S1 S 0.0000 0.0000 0.0000 1
S2 S 0.2500 0.2500 0.0000 1
# - Final energy: -6.92 eV/atom

---

# SrPmP2Pd5, optimized geometry, DFT PBE-GGA
data_SrPmP2Pd5
_space_group_name_H-M_alt 'P 4/m m m'
_space_group_IT_number 123
_space_group_name_Hall '-P 4 2'
_cell_length_a 4.2528
_cell_length_b 4.2528
_cell_length_c 8.9597
_cell_angle_alpha 90.00
_cell_angle_beta 90.00
_cell_angle_gamma 90.00
loop_
_atom_site_label
_atom_site_type_symbol
_atom_site_fract_x
_atom_site_fract_y
_atom_site_fract_z
_atom_site_occupancy
Sr1 Sr 0.0000 0.0000 0.0000 1
Pm1 Pm 0.0000 0.0000 0.5000 1
P1 P 0.5000 0.5000 0.3737 1
Pd1 Pd 0.0000 0.5000 0.2460 1
Pd2 Pd 0.5000 0.5000 0.0000 1
# - Final energy: -5.59 eV/atom
# - DFT formation energy: -0.788 eV per atom

---

# Pr5PdS4, optimized geometry, DFT PBE-GGA
data_Pr5PdS4
_space_group_name_H-M_alt 'I 4/m m m'
_space_group_IT_number 139
_space_group_name_Hall '-I 4 2'
_cell_length_a 4.1218
_cell_length_b 4.1218
_cell_length_c 29.5276
_cell_angle_alpha 90.00
_cell_angle_beta 90.00
_cell_angle_gamma 90.00
loop_
_atom_site_label
_atom_site_type_symbol
_atom_site_fract_x
_atom_site_fract_y
_atom_site_fract_z
_atom_site_occupancy
Pr1 Pr 0.0000 0.0000 0.0000 1
Pr2 Pr 0.0000 0.0000 0.2001 1
Pr3 Pr 0.0000 0.0000 0.3962 1
Pd1 Pd 0.0000 0.0000 0.5000 1
S1 S 0.0000 0.0000 0.1010 1
S2 S 0.0000 0.0000 0.2990 1
# - Final energy: -6.30 eV/atom

---

# Nd6Mg5Pb, optimized geometry, DFT PBE-GGA
data_Nd6Mg5Pb
_space_group_name_H-M_alt 'C m m m'
_space_group_IT_number 65
_space_group_name_Hall '-C 2 2'
_cell_length_a 5.5106
_cell_length_b 16.6045
_cell_length_c 7.7486
_cell_angle_alpha 90.00
_cell_angle_beta 90.00
_cell_angle_gamma 90.00
loop_
_atom_site_label
_atom_site_type_symbol
_atom_site_fract_x
_atom_site_fract_y
_atom_site_fract_z
_atom_site_occupancy
Nd1 Nd 0.0000 0.0000 0.2490 1
Nd2 Nd 0.0000 0.3327 0.2453 1
Mg1 Mg 0.0000 0.1657 0.0000 1
Mg2 Mg 0.0000 0.1722 0.5000 1
Mg3 Mg 0.0000 0.5000 0.0000 1
Pb1 Pb 0.0000 0.5000 0.5000 1
# - Final energy: -3.55 eV/atom
# - DFT formation energy: -0.191 eV per atom

---

# Pm2Co2B, optimized geometry, DFT PBE-GGA
data_Pm2Co2B
_space_group_name_H-M_alt 'I b a m'
_space_group_IT_number 72
_space_group_name_Hall '-I 2 2c'
_cell_length_a 5.8838
_cell_length_b 11.0641
_cell_length_c 5.7548
_cell_angle_alpha 90.00
_cell_angle_beta 90.00
_cell_angle_gamma 90.00
loop_
_atom_site_label
_atom_site_type_symbol
_atom_site_fract_x
_atom_site_fract_y
_atom_site_fract_z
_atom_site_occupancy
Pm1 Pm 0.1842 0.1403 0.0000 1
Co1 Co 0.1535 0.4063 0.0000 1
B1 B 0.0000 0.5000 0.2500 1
# - Final energy: -6.24 eV/atom
# - DFT formation energy: -0.164 eV per atom

---

# LiDyPa, optimized geometry, DFT PBE-GGA
data_LiDyPa
_space_group_name_H-M_alt 'F m m m'
_space_group_IT_number 69
_space_group_name_Hall '-F 2 2'
_cell_length_a 5.4177
_cell_length_b 5.6081
_cell_length_c 22.4585
_cell_angle_alpha 90.00
_cell_angle_beta 90.00
_cell_angle_gamma 90.00
loop_
_atom_site_label
_atom_site_type_symbol
_atom_site_fract_x
_atom_site_fract_y
_atom_site_fract_z
_atom_site_occupancy
Li1 Li 0.0000 0.2210 0.0000 1
Dy1 Dy 0.0000 0.0000 0.3772 1
Pa1 Pa 0.2500 0.2500 0.2500 1
# - Final energy: -4.74 eV/atom
# - DFT formation energy: 0.601 eV per atom

---

# Cs3Pb2F7, optimized geometry, DFT PBE-GGA
data_Cs3Pb2F7
_space_group_name_H-M_alt 'I 4/m m m'
_space_group_IT_number 139
_space_group_name_Hall '-I 4 2'
_cell_length_a 4.8999
_cell_length_b 4.8999
_cell_length_c 24.8519
_cell_angle_alpha 90.00
_cell_angle_beta 90.00
_cell_angle_gamma 90.00
loop_
_atom_site_label
_atom_site_type_symbol
_atom_site_fract_x
_atom_site_fract_y
_atom_site_fract_z
_atom_site_occupancy
Cs1 Cs 0.0000 0.0000 0.0000 1
Cs2 Cs 0.0000 0.0000 0.1868 1
Pb1 Pb 0.0000 0.0000 0.4002 1
F1 F 0.0000 0.0000 0.3028 1
F2 F 0.0000 0.0000 0.5000 1
F3 F 0.0000 0.5000 0.0990 1
# - Final energy: -4.48 eV/atom

---

# Na5As2I2, optimized geometry, DFT PBE-GGA
data_Na5As2I2
_space_group_name_H-M_alt 'C m c e'
_space_group_IT_number 64
_space_group_name_Hall '-C 2ac 2'
_cell_length_a 16.7820
_cell_length_b 7.8362
_cell_length_c 7.8518
_cell_angle_alpha 90.00
_cell_angle_beta 90.00
_cell_angle_gamma 90.00
loop_
_atom_site_label
_atom_site_type_symbol
_atom_site_fract_x
_atom_site_fract_y
_atom_site_fract_z
_atom_site_occupancy
Na1 Na 0.0000 0.0000 0.0000 1
Na2 Na 0.1256 0.1725 0.3279 1
As1 As 0.0000 0.1115 0.6117 1
I1 I 0.2064 0.0000 0.0000 1
# - Final energy: -2.84 eV/atom

---

# Hf3TiP, optimized geometry, DFT PBE-GGA
data_Hf3TiP
_space_group_name_H-M_alt 'P m -3 m'
_space_group_IT_number 221
_space_group_name_Hall '-P 4 2 3'
_cell_length_a 4.8710
_cell_length_b 4.8710
_cell_length_c 4.8710
_cell_angle_alpha 90.00
_cell_angle_beta 90.00
_cell_angle_gamma 90.00
loop_
_atom_site_label
_atom_site_type_symbol
_atom_site_fract_x
_atom_site_fract_y
_atom_site_fract_z
_atom_site_occupancy
Hf1 Hf 0.0000 0.0000 0.5000 1
Ti1 Ti 0.0000 0.0000 0.0000 1
P1 P 0.5000 0.5000 0.5000 1
# - Final energy: -7.59 eV/atom
# - DFT formation energy: 1.042 eV per atom

---

# KIr, optimized geometry, DFT PBE-GGA
data_KIr
_space_group_name_H-M_alt 'I 4/m m m'
_space_group_IT_number 139
_space_group_name_Hall '-I 4 2'
_cell_length_a 11.9673
_cell_length_b 11.9673
_cell_length_c 4.3818
_cell_angle_alpha 90.00
_cell_angle_beta 90.00
_cell_angle_gamma 90.00
loop_
_atom_site_label
_atom_site_type_symbol
_atom_site_fract_x
_atom_site_fract_y
_atom_site_fract_z
_atom_site_occupancy
K1 K 0.0000 0.2587 0.0000 1
Ir1 Ir 0.2242 0.2242 0.5000 1
# - Final energy: -4.36 eV/atom
# - DFT formation energy: 0.621 eV per atom

---

# SiTc3Ge2, optimized geometry, DFT PBE-GGA
data_SiTc3Ge2
_space_group_name_H-M_alt 'C 1 2/c 1'
_space_group_IT_number 15
_space_group_name_Hall '-C 2yc'
_cell_length_a 13.3737
_cell_length_b 4.8408
_cell_length_c 5.5688
_cell_angle_alpha 90.00
_cell_angle_beta 91.36
_cell_angle_gamma 90.00
loop_
_atom_site_label
_atom_site_type_symbol
_atom_site_fract_x
_atom_site_fract_y
_atom_site_fract_z
_atom_site_occupancy
Si1 Si 0.0000 0.1395 0.2500 1
Tc1 Tc 0.0000 0.3633 0.7500 1
Tc2 Tc 0.1504 0.1048 0.4686 1
Ge1 Ge 0.1920 0.3916 0.8400 1
# - Final energy: -7.75 eV/atom

---

# Ac2TmIr9, optimized geometry, DFT PBE-GGA
data_Ac2TmIr9
_space_group_name_H-M_alt 'R -3 m'
_space_group_IT_number 166
_space_group_name_Hall '-R 3 2"'
_cell_length_a 5.3909
_cell_length_b 5.3909
_cell_length_c 27.2211
_cell_angle_alpha 90.00
_cell_angle_beta 90.00
_cell_angle_gamma 120.00
loop_
_atom_site_label
_atom_site_type_symbol
_atom_site_fract_x
_atom_site_fract_y
_atom_site_fract_z
_atom_site_occupancy
Ac1 Ac 0.0000 0.0000 0.1391 1
Tm1 Tm 0.0000 0.0000 0.0000 1
Ir1 Ir 0.0000 0.0000 0.3317 1
Ir2 Ir 0.0000 0.0000 0.5000 1
Ir3 Ir 0.0042 0.5021 0.0781 1
# - Final energy: -8.13 eV/atom
# - DFT formation energy: -0.426 eV per atom